1.
Material: LaAsW2
Method: DFT, SCAN
State: single point on PBEsol structure

```
LaAsW2
1.0
-1.0840 0.4827 2.5318
-5.1511 -0.0541 -2.1951
2.2132 -4.7949 1.8617
As W La
1 2 1
Cartesian
-0.5420 0.2414 1.2659
-2.5755 -0.0271 -1.0976
1.1066 -2.3974 0.9309
-2.0109 -2.1831 1.0992
```

Computed properties:
The calculation puts the calculated volume at 19.160 A^3/atom. As for the space group: Cmmm. The calculation puts the calculated formation energy at 382 kJ/mol of formula units.

---

2.
Material: MnInP4
Method: DFT, SCAN
State: single point on PBEsol structure

```
MnInP4
1.0
5.1540 0.0000 0.0000
2.5770 4.4635 0.0000
2.5770 1.4878 4.2082
In Mn P
1 1 4
Cartesian
7.7309 4.4635 3.1561
0.0000 0.0000 0.0000
3.8411 2.2177 1.5681
5.1540 2.9756 3.7120
6.4668 2.2177 1.5681
5.1540 4.4915 1.5681
```

Computed properties:
The calculation puts the calculated volume at 16.134 A^3/atom. As for the space group: F-43m. The calculation puts the calculated formation energy at 347 kJ/mol of formula units.

---

3.
Material: KCa2Mg
Method: DFT, SCAN
State: single point on PBEsol structure

```
KCa2Mg
1.0
3.9387 0.0000 0.0000
0.0000 3.9387 0.0000
0.0000 0.0000 10.5443
K Mg Ca
1 1 2
Cartesian
1.9693 1.9693 0.0000
1.9693 1.9693 5.2722
0.0000 0.0000 7.2032
0.0000 0.0000 3.3411
```

Computed properties:
The calculation puts the calculated volume at 40.893 A^3/atom. As for the space group: P4/mmm. The calculation puts the calculated formation energy at 22 kJ/mol of formula units.